No. 1
Entry from Alexandria via LeMat-Bulk: an optimized crystal structure of VCu2I6 (PBE-GGA).

As for the volume: 1386 Å³ per cell. As for the uncorrected energy: -28.977 eV/f.u. The mass density is 4.5 g/cm³. As for the crystal system: monoclinic. The density of states at the Fermi level comes out at 35.272 states/eV/cell. The magnetization is 5.760 Bohr magnetons per cell. The value obtained for the uncorrected formation energy is -0.26 eV/atom.

The space group is C2/c (No. 15) and the conventional cell measures 15.241, 13.304 and 7.104 Å, with angles of 90.00, 105.74 and 90.00 degrees. The inequivalent atoms are V at (0.000, 0.084, 0.250), Cu at (0.055, 0.406, 0.140), I at (0.106, 0.064, 0.630), I at (0.111, 0.222, 0.146) and I at (0.123, 0.437, 0.516).

---

No. 2
Entry from Alexandria via LeMat-Bulk: an optimized crystal structure of VCu2I8 (PBE-GGA).

As for the volume: 794 Å³ per cell. As for the uncorrected energy: -31.539 eV/f.u. The mass density is 5.0 g/cm³. As for the crystal system: monoclinic. The density of states at the Fermi level comes out at 25.606 states/eV/cell. The magnetization is 0.067 Bohr magnetons per cell. The value obtained for the uncorrected formation energy is -0.17 eV/atom.

The space group is C2/m (No. 12) and the conventional cell measures 13.937, 8.673 and 6.586 Å, with angles of 90.00, 93.79 and 90.00 degrees. The inequivalent atoms are V at (0.000, 0.000, 0.000), Cu at (0.172, 0.000, 0.626), I at (0.072, 0.225, 0.763), I at (0.156, 0.500, 0.231) and I at (0.169, 0.000, 0.235).

---

No. 3
Entry from Alexandria via LeMat-Bulk: an optimized crystal structure of V2CuI8 (PBE-GGA).

As for the volume: 1059 Å³ per cell. As for the uncorrected energy: -38.185 eV/f.u. The mass density is 3.7 g/cm³. As for the crystal system: monoclinic. For the energy above the most stable polymorph in this dataset, the calculation gives 0 meV per atom. The density of states at the Fermi level comes out at 16.696 states/eV/cell. The magnetization is 6.000 Bohr magnetons per cell. The value obtained for the uncorrected formation energy is -0.31 eV/atom.

The space group is C2/m (No. 12) and the conventional cell measures 13.836, 10.416 and 7.389 Å, with angles of 90.00, 95.76 and 90.00 degrees. The inequivalent atoms are V at (0.195, 0.000, 0.155), Cu at (0.000, 0.000, 0.000), I at (0.094, 0.192, 0.238), I at (0.130, 0.500, 0.703) and I at (0.172, 0.000, 0.808).

---

No. 4
Entry from Alexandria via LeMat-Bulk: an optimized crystal structure of V2CuI (PBE-GGA).

As for the volume: 270 Å³ per cell. As for the uncorrected energy: -20.686 eV/f.u. The mass density is 7.2 g/cm³. As for the crystal system: tetragonal. For the energy above the most stable polymorph in this dataset, the calculation gives 65 meV per atom. The density of states at the Fermi level comes out at 18.552 states/eV/cell. The magnetization is 0.000 Bohr magnetons per cell. The value obtained for the uncorrected formation energy is 0.80 eV/atom.

The space group is I-42d (No. 122) and the conventional cell measures 3.742, 3.742 and 19.287 Å, with angles of 90.00, 90.00 and 90.00 degrees. The inequivalent atoms are V at (0.231, 0.250, 0.125), Cu at (0.000, 0.000, 0.000) and I at (0.000, 0.000, 0.500).

---

No. 5
Entry from Alexandria via LeMat-Bulk: an optimized crystal structure of V3CuI (PBE-GGA).

As for the volume: 101 Å³ per cell. As for the uncorrected energy: -27.037 eV/f.u. The mass density is 5.6 g/cm³. As for the crystal system: cubic. For the energy above the most stable polymorph in this dataset, the calculation gives 0 meV per atom. The density of states at the Fermi level comes out at 8.752 states/eV/cell. The magnetization is 7.158 Bohr magnetons per cell. The value obtained for the uncorrected formation energy is 1.19 eV/atom.

The space group is Pm-3m (No. 221) and the conventional cell measures 4.659, 4.659 and 4.659 Å, with angles of 90.00, 90.00 and 90.00 degrees. The inequivalent atoms are V at (0.000, 0.000, 0.500), Cu at (0.000, 0.000, 0.000) and I at (0.500, 0.500, 0.500).

---

No. 6
Entry from Alexandria via LeMat-Bulk: an optimized crystal structure of V2CuI (PBE-GGA).

As for the volume: 248 Å³ per cell. As for the uncorrected energy: -20.948 eV/f.u. The mass density is 7.8 g/cm³. As for the crystal system: cubic. For the energy above the most stable polymorph in this dataset, the calculation gives 0 meV per atom. The density of states at the Fermi level comes out at 25.327 states/eV/cell. The magnetization is 0.044 Bohr magnetons per cell. The value obtained for the uncorrected formation energy is 0.73 eV/atom.

The space group is Fm-3m (No. 225) and the conventional cell measures 6.280, 6.280 and 6.280 Å, with angles of 90.00, 90.00 and 90.00 degrees. The inequivalent atoms are V at (0.250, 0.250, 0.250), Cu at (0.000, 0.000, 0.000) and I at (0.000, 0.000, 0.500).

---

No. 7
Entry from Alexandria via LeMat-Bulk: an optimized crystal structure of VCuI5 (PBE-GGA).

As for the volume: 1014 Å³ per cell. As for the uncorrected energy: -22.307 eV/f.u. The mass density is 4.9 g/cm³. As for the crystal system: monoclinic. The density of states at the Fermi level comes out at 29.442 states/eV/cell. The magnetization is 4.325 Bohr magnetons per cell. The value obtained for the uncorrected formation energy is -0.19 eV/atom.

The space group is C2/c (No. 15) and the conventional cell measures 10.946, 9.438 and 10.913 Å, with angles of 90.00, 115.88 and 90.00 degrees. The inequivalent atoms are V at (0.250, 0.250, 0.000), Cu at (0.000, 0.060, 0.250), I at (0.000, 0.220, 0.750), I at (0.103, 0.261, 0.147) and I at (0.241, 0.033, 0.495).

---

No. 8
Entry from Alexandria via LeMat-Bulk: an optimized crystal structure of VCuI (PBE-GGA).

As for the volume: 153 Å³ per cell. As for the uncorrected energy: -13.945 eV/f.u. The mass density is 5.2 g/cm³. As for the crystal system: triclinic. The density of states at the Fermi level comes out at 3.431 states/eV/cell. The magnetization is 0.000 Bohr magnetons per cell. The value obtained for the uncorrected formation energy is 0.27 eV/atom.

The space group is P-1 (No. 2) and the conventional cell measures 4.100, 5.148 and 7.677 Å, with angles of 71.32, 89.82 and 89.94 degrees. The inequivalent atoms are V at (0.250, 0.088, 0.066), Cu at (0.250, 0.609, 0.006) and I at (0.251, 0.161, 0.693).

---

No. 9
Entry from Alexandria via LeMat-Bulk: an optimized crystal structure of V2Cu2I (PBE-GGA).

As for the volume: 159 Å³ per cell. As for the uncorrected energy: -24.781 eV/f.u. The mass density is 7.4 g/cm³. As for the crystal system: tetragonal. For the energy above the most stable polymorph in this dataset, the calculation gives 34 meV per atom. The density of states at the Fermi level comes out at 8.535 states/eV/cell. The magnetization is 2.342 Bohr magnetons per cell. The value obtained for the uncorrected formation energy is 0.64 eV/atom.

The space group is I4/mmm (No. 139) and the conventional cell measures 3.476, 3.476 and 13.183 Å, with angles of 90.00, 90.00 and 90.00 degrees. The inequivalent atoms are V at (0.000, 0.000, 0.103), Cu at (0.000, 0.500, 0.250) and I at (0.000, 0.000, 0.500).

---

No. 10
Entry from Alexandria via LeMat-Bulk: an optimized crystal structure of V2Cu2I (PBE-GGA).

As for the volume: 166 Å³ per cell. As for the uncorrected energy: -24.951 eV/f.u. The mass density is 7.1 g/cm³. As for the crystal system: tetragonal. For the energy above the most stable polymorph in this dataset, the calculation gives 0 meV per atom. The density of states at the Fermi level comes out at 9.491 states/eV/cell. The magnetization is 0.001 Bohr magnetons per cell. The value obtained for the uncorrected formation energy is 0.61 eV/atom.

The space group is P4/mbm (No. 127) and the conventional cell measures 6.629, 6.629 and 3.767 Å, with angles of 90.00, 90.00 and 90.00 degrees. The inequivalent atoms are V at (0.125, 0.375, 0.000), Cu at (0.148, 0.648, 0.500) and I at (0.000, 0.000, 0.000).

---

No. 11
Entry from Alexandria via LeMat-Bulk: an optimized crystal structure of Cu3WI (PBE-GGA).

As for the volume: 113 Å³ per cell. As for the uncorrected energy: -19.237 eV/f.u. The mass density is 7.4 g/cm³. As for the crystal system: cubic. For the energy above the most stable polymorph in this dataset, the calculation gives 0 meV per atom. The density of states at the Fermi level comes out at 2.822 states/eV/cell. The magnetization is 0.000 Bohr magnetons per cell. The value obtained for the uncorrected formation energy is 1.51 eV/atom.

The space group is Pm-3m (No. 221) and the conventional cell measures 4.829, 4.829 and 4.829 Å, with angles of 90.00, 90.00 and 90.00 degrees. The inequivalent atoms are Cu at (0.000, 0.000, 0.500), W at (0.000, 0.000, 0.000) and I at (0.500, 0.500, 0.500).

---

No. 12
Entry from Alexandria via LeMat-Bulk: an optimized crystal structure of CuWI2 (PBE-GGA).

As for the volume: 444 Å³ per cell. As for the uncorrected energy: -15.558 eV/f.u. The mass density is 7.5 g/cm³. As for the crystal system: tetragonal. For the energy above the most stable polymorph in this dataset, the calculation gives 0 meV per atom. The density of states at the Fermi level comes out at 13.919 states/eV/cell. The magnetization is 0.000 Bohr magnetons per cell. The value obtained for the uncorrected formation energy is 1.15 eV/atom.

The space group is I-42d (No. 122) and the conventional cell measures 6.202, 6.202 and 11.538 Å, with angles of 90.00, 90.00 and 90.00 degrees. The inequivalent atoms are Cu at (0.000, 0.000, 0.000), W at (0.000, 0.000, 0.500) and I at (0.245, 0.250, 0.125).